No. 1
# GGA-PBE Pr7Zn2Sn2, optimized geometry
# **Raw total energy**: -4.155 eV per atom
# **SG**: Cmmm, No. 65
# **Formation enthalpy at 0 K**: -0.154 eV per atom
data_Pr7Zn2Sn2
_chemical_formula_sum 'Pr7 Zn2 Sn2'
_space_group_name_H-M_alt 'P 1'
_space_group_IT_number 1
_cell_length_a 7.122
_cell_length_b 7.430
_cell_length_c 7.122
_cell_angle_alpha 90.00
_cell_angle_beta 109.26
_cell_angle_gamma 90.00
loop_
_space_group_symop_operation_xyz
'x,y,z'
loop_
_atom_site_label
_atom_site_type_symbol
_atom_site_fract_x
_atom_site_fract_y
_atom_site_fract_z
_atom_site_occupancy
Pr1 Pr 0.500 0.760 0.500 1
Pr2 Pr 0.500 0.281 0.000 1
Zn1 Zn 0.717 0.000 0.283 1
Pr3 Pr 0.000 0.000 0.000 1
Pr4 Pr 0.500 0.719 0.000 1
Sn1 Sn 0.176 0.500 0.176 1
Pr5 Pr 0.500 0.240 0.500 1
Sn2 Sn 0.824 0.500 0.824 1
Pr6 Pr 0.000 0.719 0.500 1
Pr7 Pr 0.000 0.281 0.500 1
Zn2 Zn 0.283 0.000 0.717 1

No. 2
# GGA-PBE BaNaNbP2, optimized geometry
# **Raw total energy**: -4.679 eV per atom
# **SG**: P4/mmm, No. 123
# **Formation enthalpy at 0 K**: 0.147 eV per atom
data_BaNaNbP2
_chemical_formula_sum 'Ba1 Na1 Nb1 P2'
_space_group_name_H-M_alt 'P 1'
_space_group_IT_number 1
_cell_length_a 4.976
_cell_length_b 5.733
_cell_length_c 4.976
_cell_angle_alpha 90.00
_cell_angle_beta 90.00
_cell_angle_gamma 90.00
loop_
_space_group_symop_operation_xyz
'x,y,z'
loop_
_atom_site_label
_atom_site_type_symbol
_atom_site_fract_x
_atom_site_fract_y
_atom_site_fract_z
_atom_site_occupancy
Ba1 Ba 0.000 0.500 0.000 1
P1 P 0.500 0.000 0.000 1
P2 P 0.000 0.000 0.500 1
Na1 Na 0.500 0.500 0.500 1
Nb1 Nb 0.000 0.000 0.000 1